Entry 1
# PBE PmDy2Mn, optimized geometry
data_PmDy2Mn
_space_group_name_H-M_alt 'P 1'
_space_group_IT_number 1
_cell_length_a 3.531
_cell_length_b 3.531
_cell_length_c 8.840
_cell_angle_alpha 90.00
_cell_angle_beta 90.00
_cell_angle_gamma 90.00
loop_
_space_group_symop_operation_xyz
'x,y,z'
loop_
_atom_site_label
_atom_site_type_symbol
_atom_site_fract_x
_atom_site_fract_y
_atom_site_fract_z
Pm1 Pm 0.000 0.000 0.000
Dy1 Dy 0.500 0.500 0.305
Dy2 Dy 0.500 0.500 0.695
Mn1 Mn 0.000 0.000 0.500
# Density of states at the Fermi level, states/eV per cell: 6.0

Entry 2
# PBE PmDy2Mn, optimized geometry
data_PmDy2Mn
_space_group_name_H-M_alt 'P 1'
_space_group_IT_number 1
_cell_length_a 11.567
_cell_length_b 11.567
_cell_length_c 11.567
_cell_angle_alpha 16.97
_cell_angle_beta 16.97
_cell_angle_gamma 16.97
loop_
_space_group_symop_operation_xyz
'x,y,z'
loop_
_atom_site_label
_atom_site_type_symbol
_atom_site_fract_x
_atom_site_fract_y
_atom_site_fract_z
Pm1 Pm 0.000 0.000 0.000
Dy1 Dy 0.419 0.419 0.419
Dy2 Dy 0.581 0.581 0.581
Mn1 Mn 0.500 0.500 0.500
# Density of states at the Fermi level, states/eV per cell: 4.1

Taking the most stable structure as the zero point, the relative energies in eV/atom are entry 1 0.000; entry 2 0.399.

Entry 1
# PBE PrDy2Mn, optimized geometry
data_PrDy2Mn
_space_group_name_H-M_alt 'P 1'
_space_group_IT_number 1
_cell_length_a 3.504
_cell_length_b 3.504
_cell_length_c 9.111
_cell_angle_alpha 90.00
_cell_angle_beta 90.00
_cell_angle_gamma 90.00
loop_
_space_group_symop_operation_xyz
'x,y,z'
loop_
_atom_site_label
_atom_site_type_symbol
_atom_site_fract_x
_atom_site_fract_y
_atom_site_fract_z
Pr1 Pr 0.000 0.000 0.000
Dy1 Dy 0.500 0.500 0.309
Dy2 Dy 0.500 0.500 0.691
Mn1 Mn 0.000 0.000 0.500
# Density of states at the Fermi level, states/eV per cell: 5.5

Entry 2
# PBE PrDy2Mn, optimized geometry
data_PrDy2Mn
_space_group_name_H-M_alt 'P 1'
_space_group_IT_number 1
_cell_length_a 11.629
_cell_length_b 11.629
_cell_length_c 11.629
_cell_angle_alpha 16.97
_cell_angle_beta 16.97
_cell_angle_gamma 16.97
loop_
_space_group_symop_operation_xyz
'x,y,z'
loop_
_atom_site_label
_atom_site_type_symbol
_atom_site_fract_x
_atom_site_fract_y
_atom_site_fract_z
Pr1 Pr 0.000 0.000 0.000
Dy1 Dy 0.420 0.420 0.420
Dy2 Dy 0.580 0.580 0.580
Mn1 Mn 0.500 0.500 0.500
# Density of states at the Fermi level, states/eV per cell: 4.1

Taking the most stable structure as the zero point, the relative energies in eV/atom are entry 1 0.000; entry 2 0.412.

Entry 1
# PBE Dy2PuMn, optimized geometry
data_Dy2PuMn
_space_group_name_H-M_alt 'P 1'
_space_group_IT_number 1
_cell_length_a 3.442
_cell_length_b 3.442
_cell_length_c 8.688
_cell_angle_alpha 90.00
_cell_angle_beta 90.00
_cell_angle_gamma 90.00
loop_
_space_group_symop_operation_xyz
'x,y,z'
loop_
_atom_site_label
_atom_site_type_symbol
_atom_site_fract_x
_atom_site_fract_y
_atom_site_fract_z
Dy1 Dy 0.000 0.000 0.203
Dy2 Dy 0.000 0.000 0.797
Pu1 Pu 0.500 0.500 0.500
Mn1 Mn 0.500 0.500 0.000
# Density of states at the Fermi level, states/eV per cell: 9.1

Entry 2
# PBE Dy2PuMn, optimized geometry
data_Dy2PuMn
_space_group_name_H-M_alt 'P 1'
_space_group_IT_number 1
_cell_length_a 11.469
_cell_length_b 11.469
_cell_length_c 11.469
_cell_angle_alpha 16.60
_cell_angle_beta 16.60
_cell_angle_gamma 16.60
loop_
_space_group_symop_operation_xyz
'x,y,z'
loop_
_atom_site_label
_atom_site_type_symbol
_atom_site_fract_x
_atom_site_fract_y
_atom_site_fract_z
Dy1 Dy 0.083 0.083 0.083
Dy2 Dy 0.917 0.917 0.917
Pu1 Pu 0.500 0.500 0.500
Mn1 Mn 0.000 0.000 0.000
# Density of states at the Fermi level, states/eV per cell: 10.3

Taking the most stable structure as the zero point, the relative energies in eV/atom are entry 1 0.000; entry 2 0.401.

Entry 1
# PBE DyMnRu, optimized geometry
data_DyMnRu
_space_group_name_H-M_alt 'P 1'
_space_group_IT_number 1
_cell_length_a 5.632
_cell_length_b 5.632
_cell_length_c 5.632
_cell_angle_alpha 145.75
_cell_angle_beta 145.75
_cell_angle_gamma 49.22
loop_
_space_group_symop_operation_xyz
'x,y,z'
loop_
_atom_site_label
_atom_site_type_symbol
_atom_site_fract_x
_atom_site_fract_y
_atom_site_fract_z
Dy1 Dy 0.000 0.000 0.000
Mn1 Mn 0.709 0.709 0.000
Ru1 Ru 0.318 0.318 0.000
# Density of states at the Fermi level, states/eV per cell: 2.0

Entry 2
# PBE DyMnRu, optimized geometry
data_DyMnRu
_space_group_name_H-M_alt 'P 1'
_space_group_IT_number 1
_cell_length_a 5.287
_cell_length_b 5.287
_cell_length_c 5.287
_cell_angle_alpha 119.74
_cell_angle_beta 119.47
_cell_angle_gamma 90.69
loop_
_space_group_symop_operation_xyz
'x,y,z'
loop_
_atom_site_label
_atom_site_type_symbol
_atom_site_fract_x
_atom_site_fract_y
_atom_site_fract_z
Dy1 Dy 0.377 0.127 0.250
Dy2 Dy 0.623 0.873 0.750
Mn1 Mn 0.000 0.000 0.500
Mn2 Mn 0.000 0.500 0.000
Ru1 Ru 0.000 0.500 0.500
Ru2 Ru 0.500 0.500 0.000
# Density of states at the Fermi level, states/eV per cell: 5.4

Entry 3
# PBE DyMnRu, optimized geometry
data_DyMnRu
_space_group_name_H-M_alt 'P 1'
_space_group_IT_number 1
_cell_length_a 13.376
_cell_length_b 13.376
_cell_length_c 13.376
_cell_angle_alpha 22.78
_cell_angle_beta 22.78
_cell_angle_gamma 22.78
loop_
_space_group_symop_operation_xyz
'x,y,z'
loop_
_atom_site_label
_atom_site_type_symbol
_atom_site_fract_x
_atom_site_fract_y
_atom_site_fract_z
Dy1 Dy 0.041 0.041 0.041
Dy2 Dy 0.180 0.180 0.180
Dy3 Dy 0.264 0.264 0.264
Dy4 Dy 0.736 0.736 0.736
Dy5 Dy 0.820 0.820 0.820
Dy6 Dy 0.959 0.959 0.959
Mn1 Mn 0.222 0.721 0.721
Mn2 Mn 0.279 0.279 0.778
Mn3 Mn 0.279 0.778 0.279
Mn4 Mn 0.721 0.222 0.721
Mn5 Mn 0.721 0.721 0.222
Mn6 Mn 0.778 0.279 0.279
Ru1 Ru 0.000 0.500 0.500
Ru2 Ru 0.392 0.392 0.392
Ru3 Ru 0.500 0.000 0.500
Ru4 Ru 0.500 0.500 0.000
Ru5 Ru 0.500 0.500 0.500
Ru6 Ru 0.608 0.608 0.608
# Density of states at the Fermi level, states/eV per cell: 21.7

Taking the most stable structure as the zero point, the relative energies in eV/atom are entry 1 0.229; entry 2 0.000; entry 3 0.071.

Entry 1
# PBE DyMnS3, optimized geometry
data_DyMnS3
_space_group_name_H-M_alt 'P 1'
_space_group_IT_number 1
_cell_length_a 7.638
_cell_length_b 3.752
_cell_length_c 12.767
_cell_angle_alpha 90.00
_cell_angle_beta 90.00
_cell_angle_gamma 90.00
loop_
_space_group_symop_operation_xyz
'x,y,z'
loop_
_atom_site_label
_atom_site_type_symbol
_atom_site_fract_x
_atom_site_fract_y
_atom_site_fract_z
Dy1 Dy 0.092 0.250 0.170
Dy2 Dy 0.408 0.750 0.670
Dy3 Dy 0.592 0.250 0.330
Dy4 Dy 0.908 0.750 0.830
Mn1 Mn 0.159 0.750 0.449
Mn2 Mn 0.341 0.250 0.949
Mn3 Mn 0.659 0.750 0.051
Mn4 Mn 0.841 0.250 0.551
S1 S 0.020 0.750 0.615
S2 S 0.152 0.750 0.007
S3 S 0.193 0.250 0.786
S4 S 0.307 0.750 0.286
S5 S 0.348 0.250 0.507
S6 S 0.480 0.250 0.115
S7 S 0.520 0.750 0.885
S8 S 0.652 0.750 0.493
S9 S 0.693 0.250 0.714
S10 S 0.807 0.750 0.214
S11 S 0.848 0.250 0.993
S12 S 0.980 0.250 0.385
# Density of states at the Fermi level, states/eV per cell: 8.0

Entry 2
# PBE DyMnS3, optimized geometry
data_DyMnS3
_space_group_name_H-M_alt 'P 1'
_space_group_IT_number 1
_cell_length_a 6.675
_cell_length_b 3.612
_cell_length_c 7.446
_cell_angle_alpha 90.00
_cell_angle_beta 99.08
_cell_angle_gamma 90.00
loop_
_space_group_symop_operation_xyz
'x,y,z'
loop_
_atom_site_label
_atom_site_type_symbol
_atom_site_fract_x
_atom_site_fract_y
_atom_site_fract_z
Dy1 Dy 0.118 0.250 0.296
Dy2 Dy 0.882 0.750 0.704
Mn1 Mn 0.379 0.750 0.881
Mn2 Mn 0.621 0.250 0.119
S1 S 0.149 0.250 0.909
S2 S 0.233 0.750 0.562
S3 S 0.425 0.750 0.177
S4 S 0.575 0.250 0.823
S5 S 0.767 0.250 0.438
S6 S 0.851 0.750 0.091
# Density of states at the Fermi level, states/eV per cell: 2.6

Taking the most stable structure as the zero point, the relative energies in eV/atom are entry 1 0.000; entry 2 0.112.

Entry 1
# PBE DySc2Mn, optimized geometry
data_DySc2Mn
_space_group_name_H-M_alt 'P 1'
_space_group_IT_number 1
_cell_length_a 3.212
_cell_length_b 3.212
_cell_length_c 8.567
_cell_angle_alpha 90.00
_cell_angle_beta 90.00
_cell_angle_gamma 90.00
loop_
_space_group_symop_operation_xyz
'x,y,z'
loop_
_atom_site_label
_atom_site_type_symbol
_atom_site_fract_x
_atom_site_fract_y
_atom_site_fract_z
Dy1 Dy 0.000 0.000 0.000
Sc1 Sc 0.500 0.500 0.317
Sc2 Sc 0.500 0.500 0.683
Mn1 Mn 0.000 0.000 0.500
# Density of states at the Fermi level, states/eV per cell: 6.2

Entry 2
# PBE DySc2Mn, optimized geometry
data_DySc2Mn
_space_group_name_H-M_alt 'P 1'
_space_group_IT_number 1
_cell_length_a 5.445
_cell_length_b 5.445
_cell_length_c 5.445
_cell_angle_alpha 51.88
_cell_angle_beta 51.88
_cell_angle_gamma 51.88
loop_
_space_group_symop_operation_xyz
'x,y,z'
loop_
_atom_site_label
_atom_site_type_symbol
_atom_site_fract_x
_atom_site_fract_y
_atom_site_fract_z
Dy1 Dy 0.000 0.000 0.000
Sc1 Sc 0.226 0.226 0.226
Sc2 Sc 0.774 0.774 0.774
Mn1 Mn 0.500 0.500 0.500
# Density of states at the Fermi level, states/eV per cell: 6.1

Taking the most stable structure as the zero point, the relative energies in eV/atom are entry 1 0.000; entry 2 0.177.

Entry 1
# PBE SmDyMn, optimized geometry
data_SmDyMn
_space_group_name_H-M_alt 'P 1'
_space_group_IT_number 1
_cell_length_a 6.880
_cell_length_b 6.880
_cell_length_c 6.880
_cell_angle_alpha 150.34
_cell_angle_beta 150.34
_cell_angle_gamma 42.45
loop_
_space_group_symop_operation_xyz
'x,y,z'
loop_
_atom_site_label
_atom_site_type_symbol
_atom_site_fract_x
_atom_site_fract_y
_atom_site_fract_z
Sm1 Sm 0.000 0.000 0.000
Dy1 Dy 0.273 0.273 0.000
Mn1 Mn 0.640 0.640 0.000
# Density of states at the Fermi level, states/eV per cell: 4.4

Entry 2
# PBE SmDyMn, optimized geometry
data_SmDyMn
_space_group_name_H-M_alt 'P 1'
_space_group_IT_number 1
_cell_length_a 7.193
_cell_length_b 7.193
_cell_length_c 5.967
_cell_angle_alpha 100.50
_cell_angle_beta 100.50
_cell_angle_gamma 30.72
loop_
_space_group_symop_operation_xyz
'x,y,z'
loop_
_atom_site_label
_atom_site_type_symbol
_atom_site_fract_x
_atom_site_fract_y
_atom_site_fract_z
Sm1 Sm 0.074 0.074 0.281
Sm2 Sm 0.926 0.926 0.719
Dy1 Dy 0.341 0.341 0.173
Dy2 Dy 0.659 0.659 0.827
Mn1 Mn 0.247 0.247 0.583
Mn2 Mn 0.753 0.753 0.417
# Density of states at the Fermi level, states/eV per cell: 6.2

Taking the most stable structure as the zero point, the relative energies in eV/atom are entry 1 0.074; entry 2 0.000.

Entry 1
# PBE TbDy2Mn, optimized geometry
data_TbDy2Mn
_space_group_name_H-M_alt 'P 1'
_space_group_IT_number 1
_cell_length_a 3.542
_cell_length_b 3.542
_cell_length_c 8.625
_cell_angle_alpha 90.00
_cell_angle_beta 90.00
_cell_angle_gamma 90.00
loop_
_space_group_symop_operation_xyz
'x,y,z'
loop_
_atom_site_label
_atom_site_type_symbol
_atom_site_fract_x
_atom_site_fract_y
_atom_site_fract_z
Tb1 Tb 0.000 0.000 0.000
Dy1 Dy 0.500 0.500 0.300
Dy2 Dy 0.500 0.500 0.700
Mn1 Mn 0.000 0.000 0.500
# Density of states at the Fermi level, states/eV per cell: 5.9

Entry 2
# PBE TbDy2Mn, optimized geometry
data_TbDy2Mn
_space_group_name_H-M_alt 'P 1'
_space_group_IT_number 1
_cell_length_a 4.749
_cell_length_b 4.749
_cell_length_c 4.778
_cell_angle_alpha 90.00
_cell_angle_beta 90.00
_cell_angle_gamma 90.00
loop_
_space_group_symop_operation_xyz
'x,y,z'
loop_
_atom_site_label
_atom_site_type_symbol
_atom_site_fract_x
_atom_site_fract_y
_atom_site_fract_z
Tb1 Tb 0.000 0.000 0.000
Dy1 Dy 0.000 0.500 0.500
Dy2 Dy 0.500 0.000 0.500
Mn1 Mn 0.500 0.500 0.000
# Density of states at the Fermi level, states/eV per cell: 5.5

Taking the most stable structure as the zero point, the relative energies in eV/atom are entry 1 0.000; entry 2 0.102.